YTcMo2 after structural relaxation, computed with PBE.

a b c (Å): 3.251 4.827 9.106
angles (deg): 90.00 90.00 90.00
Space group Imm2 (No. 44)
Unique sites:
Y  0.000  0.000  0.000 [2 per cell]
Tc  0.000  0.500  0.235 [2 per cell]
Mo  0.000  0.000  0.503 [2 per cell]
Mo  0.000  0.500  0.771 [2 per cell]

Output
**Formation enthalpy at 0 K**: 0.27 eV per atom
**Excess energy over the best structure of this formula in the dataset**: 0.104 eV per atom
**Mass density**: 8.81 g/cm3